Below is Ta2InCo at its PBEsol-relaxed geometry, with properties calculated at the meta-GGA SCAN level.

Values from the calculation:
Energy relative to the elements ... 1.5 eV per formula unit
Electronic total energy ... -729.34 eV for the cell shown
DOS at the Fermi energy ... 0.9691 states/eV/atom
ρ ... 13441 kg/m³

Cell and atoms, written as CIF:
```
data_Ta2InCo
_space_group_name_H-M_alt 'P 1'
_space_group_IT_number 1
_cell_length_a 6.421
_cell_length_b 6.421
_cell_length_c 6.421
_cell_angle_alpha 90.00
_cell_angle_beta 90.00
_cell_angle_gamma 90.00
loop_
_space_group_symop_operation_xyz
'x,y,z'
loop_
_atom_site_label
_atom_site_fract_x
_atom_site_fract_y
_atom_site_fract_z
Ta1 0.000 0.000 0.000
Ta2 0.000 0.500 0.500
Ta3 0.250 0.250 0.250
Ta4 0.250 0.750 0.750
Ta5 0.500 0.000 0.500
Ta6 0.500 0.500 0.000
Ta7 0.750 0.250 0.750
Ta8 0.750 0.750 0.250
In1 0.000 0.000 0.500
In2 0.000 0.500 0.000
In3 0.500 0.000 0.000
In4 0.500 0.500 0.500
Co1 0.250 0.250 0.750
Co2 0.250 0.750 0.250
Co3 0.750 0.250 0.250
Co4 0.750 0.750 0.750
```